# CrCdBO4 | Alexandria | PBE with a Hubbard U | relaxed
data_CrCdBO4
_cell_length_a 5.6161
_cell_length_b 5.9939
_cell_length_c 8.1389
_cell_angle_alpha 90.00
_cell_angle_beta 90.00
_cell_angle_gamma 90.00
_symmetry_space_group_name_H-M 'I m m a'
_symmetry_Int_Tables_number 74
_symmetry_space_group_name_Hall '-I 2b 2'
loop_
_atom_site_label
_atom_site_type_symbol
_atom_site_fract_x
_atom_site_fract_y
_atom_site_fract_z
_atom_site_occupancy
Cr1 Cr 0.0000 0.0000 0.0000 1
Cd1 Cd 0.2500 0.2500 0.2500 1
B1 B 0.0000 0.2500 0.6466 1
O1 O 0.0000 0.0485 0.7459 1
O2 O 0.2376 0.2500 0.5244 1
# E_tot = -181.57 eV for the cell shown